(1)
First-principles (PBE) data for LiPmBiO after structural relaxation, as listed in Alexandria via LeMat-Bulk.

The structure in POSCAR format:
```
LiPmBiO
1.0
4.650 0.000 0.000
0.000 4.650 0.000
0.000 0.000 8.196
Li Pm Bi O
2 2 2 2
direct
0.500 0.000 0.807
0.000 0.500 0.193
0.000 0.000 0.500
0.500 0.500 0.500
0.000 0.500 0.844
0.500 0.000 0.156
0.000 0.500 0.431
0.500 0.000 0.569
```

## Properties
Space-group type ... P4/nmm
Total moment ... 0.000 μB/atom
Energy ... -5.3648 eV/atom

=====

(2)
First-principles (PBE) data for Ac2LaPr2Er after structural relaxation, as listed in Alexandria via LeMat-Bulk.

The structure in POSCAR format:
```
Ac2LaPr2Er
1.0
5.973 0.000 0.000
0.000 7.416 0.000
0.000 0.000 10.346
Ac La Pr Er
4 2 4 2
direct
0.500 0.008 0.000
0.000 0.258 0.173
0.500 0.508 0.000
0.000 0.758 0.827
0.000 0.007 0.500
0.000 0.507 0.500
0.000 0.257 0.827
0.500 0.258 0.342
0.000 0.757 0.173
0.500 0.758 0.658
0.500 0.257 0.665
0.500 0.757 0.335
```

## Properties
Calculated formation energy ... 0.07 eV/atom
Space-group type ... Pmc2_1
Total moment ... 0.000 μB/atom
Energy ... -4.4747 eV/atom